Compound: PmBeCoO4
Source: the Alexandria database
Functional: GGA+U
Structure: relaxed

M_tot, μB per atom: 0.5740
Raw total energy, eV/atom: -7.014

Structure (CIF):
```
data_PmBeCoO4
_symmetry_space_group_name_H-M 'I -4'
_symmetry_Int_Tables_number 82
_symmetry_space_group_name_Hall 'I -4'
_cell_length_a 5.153
_cell_length_b 5.153
_cell_length_c 6.770
_cell_angle_alpha 90.00
_cell_angle_beta 90.00
_cell_angle_gamma 90.00
loop_
_atom_site_label
_atom_site_type_symbol
_atom_site_fract_x
_atom_site_fract_y
_atom_site_fract_z
_atom_site_occupancy
Pm1 Pm 0.000 0.000 0.000 1
Be1 Be 0.000 0.500 0.250 1
Co1 Co 0.000 0.000 0.500 1
O1 O 0.163 0.733 0.361 1
```